1.
First-principles (PBE) data for Ac6Ge2Te3Br after structural relaxation, as listed in Alexandria.

formation energy (no corrections)	-1286	meV per atom
V	36.239	Å³ per atom

POSCAR file:
```
Ac6Ge2Te3Br
1.0
-3.5509 2.9325 0.6268
-5.6439 -7.2596 1.9908
5.6122 1.2331 8.7935
Ge Ac Te Br
2 6 3 1
Direct
0.1660 0.3292 0.3319 Ge
0.8340 0.6708 0.6681 Ge
0.3285 0.8921 0.6570 Ac
0.6729 0.5679 0.3457 Ac
0.0112 0.2596 0.0223 Ac
0.6715 0.1079 0.3430 Ac
0.9888 0.7404 0.9777 Ac
0.3271 0.4321 0.6543 Ac
0.5000 0.5000 0.0000 Te
0.8392 0.1663 0.6783 Te
0.1608 0.8337 0.3217 Te
0.5000 0.0000 0.0000 Br
```



2.
First-principles (PBE) data for Rb3CrBi3Se8 after structural relaxation, as listed in Alexandria.

formation energy (no corrections)	-672	meV per atom
V	33.221	Å³ per atom

POSCAR file:
```
Rb3CrBi3Se8
1.0
8.3459 0.0000 0.0000
-4.1729 7.2292 -0.0331
0.0000 -4.7809 8.2812
Se Rb Bi Cr
8 3 3 1
Direct
0.2339 0.0274 0.3206 Se
0.2647 0.5293 0.2944 Se
0.7353 0.4707 0.7056 Se
0.7935 0.0274 0.3206 Se
0.2065 0.9726 0.6794 Se
0.7661 0.9726 0.6794 Se
0.2068 0.4136 0.6794 Se
0.7932 0.5864 0.3206 Se
0.5000 0.5000 0.0000 Rb
0.0000 0.5000 0.0000 Rb
0.0000 0.0000 0.0000 Rb
0.5000 0.0000 0.5000 Bi
0.0000 0.5000 0.5000 Bi
0.5000 0.5000 0.5000 Bi
0.0000 0.0000 0.5000 Cr
```



3.
First-principles (PBE) data for Ni2IrAu after structural relaxation, as listed in Alexandria.

ΔH_f (0 K)	202	meV/atom
energy above the lowest structure with this stoichiometry	132	meV per atom
V	13.931	Å³ per atom

POSCAR file:
```
Ni2IrAu
1.0
4.5136 -0.0088 0.0046
3.6796 2.6140 0.0046
0.8118 0.2581 4.7108
Ir Ni Au
1 2 1
Direct
0.2500 0.2500 0.2500 Ir
0.9951 0.9951 0.0270 Ni
0.5049 0.5049 0.4730 Ni
0.7500 0.7500 0.7500 Au
```



4.
First-principles (PBE) data for Mg2Zr2Ni after structural relaxation, as listed in Alexandria.

ΔH_f (0 K)	182	meV/atom
V	19.837	Å³ per atom

POSCAR file:
```
Mg2Zr2Ni
1.0
6.3709 0.0000 0.0000
0.0000 6.3709 0.0000
0.0000 0.0000 4.8874
Mg Zr Ni
4 4 2
Direct
0.6478 0.1478 0.0000 Mg
0.8522 0.6478 0.0000 Mg
0.1478 0.3522 0.0000 Mg
0.3522 0.8522 0.0000 Mg
0.1709 0.6709 0.5000 Zr
0.6709 0.8291 0.5000 Zr
0.8291 0.3291 0.5000 Zr
0.3291 0.1709 0.5000 Zr
0.5000 0.5000 0.0000 Ni
0.0000 0.0000 0.0000 Ni
```



Results for density of states at the Fermi level: 4.9, 10.4, 5.6, 3.6 (in states/eV per cell, following the order of the records).